VASP calculation (GGA-PBE) on ReTeW2 after structural relaxation.

Geometry as extended XYZ:
```
4
Lattice="3.1188 0.0000 0.0000 0.0000 3.1188 0.0000 0.0000 0.0000 7.0446" Properties=species:S:1:pos:R:3 pbc="T T T"
Re 1.5594 1.5594 1.7612
Te 1.5594 1.5594 5.2835
W 0.0000 0.0000 0.1367
W 0.0000 0.0000 3.3856
```

Results
density of states at the Fermi level = 3.6 states/eV/cell
V = 17.1 A^3/atom
total magnetization = 0.00 μB/atom
formation energy without anion corrections = 0.472 eV/atom
VASP energy = -9.9024 eV/atom
crystal system = tetragonal



VASP calculation (GGA-PBE) on BeHgS2 after structural relaxation.

Geometry as extended XYZ:
```
8
Lattice="-1.8733 2.8435 3.9837 2.5752 -3.0547 3.3914 4.4290 3.0002 3.3883" Properties=species:S:1:pos:R:3 pbc="T T T"
Be 0.3510 -0.1056 3.6875
Be 3.6776 -0.0800 5.2336
S 3.0675 1.5904 7.2015
S 5.3901 1.2242 5.1079
S 2.0635 1.1986 3.5619
S 1.9652 -1.3842 5.3592
Hg 0.0000 0.0000 0.0000
Hg 1.4534 2.8691 5.5297
```

Results
density of states at the Fermi level = 1.9 states/eV/cell
V = 17.6 A^3/atom
total magnetization = 0.00 μB/atom
formation energy without anion corrections = -0.120 eV/atom
energy relative to the lowest polymorph listed for this composition = 0.437 eV per atom
VASP energy = -3.1909 eV/atom
crystal system = tetragonal



VASP calculation (GGA-PBE) on LaTa2Zn after structural relaxation.

Geometry as extended XYZ:
```
4
Lattice="-2.2143 1.6295 -1.4354 -1.3223 -4.2136 -2.7436 -3.3657 -1.3365 3.6747" Properties=species:S:1:pos:R:3 pbc="T T T"
La -2.3440 -2.7751 0.4655
Ta 0.0000 0.0000 0.0000
Ta -1.7683 -1.2921 -2.0895
Zn -2.7900 0.1465 1.1197
```

Results
density of states at the Fermi level = 4.7 states/eV/cell
ΔE_f = 0.429 eV/atom
V = 20.8 A^3/atom
total magnetization = 0.00 μB/atom
VASP energy = -7.0472 eV/atom
crystal system = orthorhombic



VASP calculation (GGA-PBE) on LiMg3Ir after structural relaxation.

Geometry as extended XYZ:
```
10
Lattice="4.2878 -0.5898 1.3267 0.5597 4.4734 0.1802 -0.3583 -0.3112 8.8407" Properties=species:S:1:pos:R:3 pbc="T T T"
Li 3.8341 2.9610 9.9638
Li 2.3018 1.0204 6.3971
Mg 0.6474 1.3216 4.1020
Mg 4.0111 0.7252 8.4569
Mg 3.0468 3.2635 4.9223
Mg 3.4495 1.0319 2.5947
Mg 1.5622 3.5632 2.0914
Mg 2.1253 3.2581 7.9044
Ir 1.3800 1.0168 9.3809
Ir 0.4697 3.5563 5.6524
```

Results
density of states at the Fermi level = 4.2 states/eV/cell
ΔE_f = -0.280 eV/atom
V = 17.5 A^3/atom
total magnetization = 0.00 μB/atom
energy relative to the lowest polymorph listed for this composition = 0.000 eV per atom
VASP energy = -3.3918 eV/atom
crystal system = monoclinic



VASP calculation (GGA-PBE) on BeSbO3 after structural relaxation.

Geometry as extended XYZ:
```
5
Lattice="-3.4111 -0.5514 0.7065 -0.2662 -2.0314 -2.8708 0.8557 -2.8299 1.9231" Properties=species:S:1:pos:R:3 pbc="T T T"
Sb -1.4108 -2.7063 -0.1206
O -0.1331 -1.0157 -1.4354
O 0.4279 -1.4150 0.9616
O -1.7056 -0.2757 0.3533
Be 0.0000 0.0000 0.0000
```

Results
density of states at the Fermi level = 3.0 states/eV/cell
V = 8.8 A^3/atom
total magnetization = 0.11 μB/atom
formation energy without anion corrections = -1.101 eV/atom
VASP energy = -5.6457 eV/atom
crystal system = cubic



VASP calculation (GGA-PBE) on ZnCo2Au after structural relaxation.

Geometry as extended XYZ:
```
4
Lattice="4.6778 -0.0022 -0.0129 1.6918 4.3611 0.0129 -3.1778 -2.1896 2.6436" Properties=species:S:1:pos:R:3 pbc="T T T"
Au 0.8494 2.1755 1.3283
Co 0.0000 0.0000 0.0000
Co 3.1848 2.1795 0.0000
Zn 2.3424 -0.0062 1.3153
```

Results
density of states at the Fermi level = 5.5 states/eV/cell
ΔE_f = 0.117 eV/atom
V = 13.5 A^3/atom
total magnetization = 0.79 μB/atom
VASP energy = -4.5740 eV/atom
crystal system = tetragonal



VASP calculation (GGA-PBE) on CrI2N2 after structural relaxation.

Geometry as extended XYZ:
```
5
Lattice="-3.5135 -1.3874 -1.3379 1.9227 -2.7170 -2.2317 -0.1940 -3.7487 4.3968" Properties=species:S:1:pos:R:3 pbc="T T T"
I -0.8924 -3.9266 0.4136
I -0.0970 -1.8744 2.1984
Cr 0.0000 0.0000 0.0000
N 0.9613 -1.3585 -1.1158
N -1.7567 -0.6937 -0.6689
```

Results
density of states at the Fermi level = 5.1 states/eV/cell
V = 18.6 A^3/atom
total magnetization = 0.00 μB/atom
formation energy without anion corrections = 1.212 eV/atom
energy relative to the lowest polymorph listed for this composition = 0.057 eV per atom
VASP energy = -4.6630 eV/atom
crystal system = tetragonal



VASP calculation (GGA-PBE) on Ba2NaHgS after structural relaxation.

Geometry as extended XYZ:
```
5
Lattice="-1.9048 -1.0918 5.7698 -5.6859 -1.1731 -2.0990 1.2341 -5.0133 -0.5412" Properties=species:S:1:pos:R:3 pbc="T T T"
Na 0.6171 -2.5067 -0.2706
S 0.0000 0.0000 0.0000
Hg -3.1782 -3.6391 1.5648
Ba -2.8429 -0.5866 -1.0495
Ba -0.9524 -0.5459 2.8849
```

Results
density of states at the Fermi level = 4.6 states/eV/cell
V = 39.6 A^3/atom
total magnetization = 0.00 μB/atom
formation energy without anion corrections = -0.823 eV/atom
VASP energy = -2.7417 eV/atom
crystal system = tetragonal